(1)
# Zr5Rh

Zr5Rh after structural relaxation (PBE, the Alexandria database).

- DOS(E_F): 6.237 states/eV/f.u.
- Theoretical density: 7.22 Mg/m³
- Volume: 21.4 A^3/atom
- Symmetry: P4/mmm (123)

Cell lengths 3.310, 3.310, 11.730 Å; angles 90.00, 90.00, 90.00 degrees
Fractional positions:
Zr: 0.000 0.000 0.000
Zr: 0.000 0.000 0.361
Zr: 0.000 0.000 0.639
Zr: 0.500 0.500 0.184
Zr: 0.500 0.500 0.816
Rh: 0.500 0.500 0.500

---

(2)
# Zr5Rh

Zr5Rh after structural relaxation (PBE, the Alexandria database).

- DOS(E_F): 8.958 states/eV/f.u.
- Theoretical density: 7.36 Mg/m³
- Volume: 21.0 A^3/atom
- Symmetry: Cmmm (65)

Cell lengths 3.331, 14.931, 5.069 Å; angles 90.00, 90.00, 90.00 degrees
Fractional positions:
Zr: 0.000 0.000 0.000
Zr: 0.000 0.154 0.500
Zr: 0.000 0.334 0.000
Zr: 0.000 0.666 0.000
Zr: 0.000 0.846 0.500
Zr: 0.500 0.166 0.000
Zr: 0.500 0.346 0.500
Zr: 0.500 0.500 0.000
Zr: 0.500 0.654 0.500
Zr: 0.500 0.834 0.000
Rh: 0.000 0.500 0.500
Rh: 0.500 0.000 0.500

---

(3)
# Zr5Rh

Zr5Rh after structural relaxation (PBE, the Alexandria database).

- DOS(E_F): 7.636 states/eV/f.u.
- Theoretical density: 7.27 Mg/m³
- Volume: 21.3 A^3/atom
- Symmetry: Cmmm (65)

Cell lengths 4.955, 15.076, 3.418 Å; angles 90.00, 90.00, 90.00 degrees
Fractional positions:
Zr: 0.000 0.000 0.000
Zr: 0.000 0.177 0.500
Zr: 0.000 0.354 0.000
Zr: 0.000 0.646 0.000
Zr: 0.000 0.823 0.500
Zr: 0.500 0.146 0.000
Zr: 0.500 0.323 0.500
Zr: 0.500 0.500 0.000
Zr: 0.500 0.677 0.500
Zr: 0.500 0.854 0.000
Rh: 0.000 0.500 0.500
Rh: 0.500 0.000 0.500

---

Result of the stability comparison: (2) is the least stable of them.

---

(1)
# Zr3Rh4

Zr3Rh4 after structural relaxation (PBE, the Alexandria database).

- DOS(E_F): 4.489 states/eV/f.u.
- Theoretical density: 9.34 Mg/m³
- Volume: 17.4 A^3/atom
- Symmetry: R-3 (148)

Cell lengths 7.325, 7.325, 7.325 Å; angles 113.72, 113.72, 113.72 degrees
Fractional positions:
Zr: 0.009 0.264 0.402
Zr: 0.264 0.402 0.009
Zr: 0.402 0.009 0.264
Zr: 0.598 0.991 0.736
Zr: 0.736 0.598 0.991
Zr: 0.991 0.736 0.598
Rh: 0.000 0.000 0.000
Rh: 0.078 0.540 0.243
Rh: 0.243 0.078 0.540
Rh: 0.460 0.757 0.922
Rh: 0.500 0.500 0.500
Rh: 0.540 0.243 0.078
Rh: 0.757 0.922 0.460
Rh: 0.922 0.460 0.757

---

(2)
# Zr3Rh4

Zr3Rh4 after structural relaxation (PBE, the Alexandria database).

- DOS(E_F): 11.524 states/eV/f.u.
- Theoretical density: 8.72 Mg/m³
- Volume: 18.6 A^3/atom
- Symmetry: P6/mmm (191)

Cell lengths 5.657, 5.657, 4.710 Å; angles 90.00, 90.00, 120.00 degrees
Fractional positions:
Zr: 0.000 0.500 0.000
Zr: 0.500 0.000 0.000
Zr: 0.500 0.500 0.000
Rh: 0.000 0.000 0.256
Rh: 0.000 0.000 0.744
Rh: 0.333 0.667 0.500
Rh: 0.667 0.333 0.500

---

Result of the stability comparison: (2) is the least stable of them.

---

(1)
# Zr2Rh3

Zr2Rh3 after structural relaxation (PBE, the Alexandria database).

- DOS(E_F): 3.135 states/eV/f.u.
- Theoretical density: 8.96 Mg/m³
- Volume: 18.2 A^3/atom
- Symmetry: Ibam (72)

Cell lengths 7.004, 7.004, 7.004 Å; angles 129.84, 69.42, 135.31 degrees
Fractional positions:
Zr: 0.169 0.216 0.385
Zr: 0.331 0.716 0.047
Zr: 0.669 0.284 0.953
Zr: 0.831 0.784 0.615
Rh: 0.104 0.653 0.756
Rh: 0.250 0.250 0.000
Rh: 0.396 0.153 0.549
Rh: 0.604 0.847 0.451
Rh: 0.750 0.750 0.000
Rh: 0.896 0.347 0.244

---

(2)
# Zr2Rh3

Zr2Rh3 after structural relaxation (PBE, the Alexandria database).

- DOS(E_F): 2.181 states/eV/f.u.
- Theoretical density: 8.59 Mg/m³
- Volume: 19.0 A^3/atom
- Symmetry: P-3m1 (164)

Cell lengths 4.476, 4.476, 5.471 Å; angles 90.00, 90.00, 120.00 degrees
Fractional positions:
Zr: 0.333 0.667 0.301
Zr: 0.667 0.333 0.699
Rh: 0.000 0.000 0.500
Rh: 0.333 0.667 0.817
Rh: 0.667 0.333 0.183

---

Result of the stability comparison: (2) is the least stable of them.

---

(1)
# Zr2Rh3

Zr2Rh3 after structural relaxation (PBE, the Alexandria database).

- DOS(E_F): 3.832 states/eV/f.u.
- Theoretical density: 9.48 Mg/m³
- Volume: 17.2 A^3/atom
- Symmetry: Fdd2 (43)

Cell lengths 7.153, 5.558, 8.246 Å; angles 58.62, 41.56, 79.82 degrees
Fractional positions:
Zr: 0.140 0.860 0.255
Zr: 0.505 0.995 0.390
Zr: 0.860 0.140 0.745
Zr: 0.995 0.505 0.110
Rh: 0.094 0.094 0.906
Rh: 0.344 0.344 0.156
Rh: 0.474 0.572 0.313
Rh: 0.572 0.474 0.640
Rh: 0.610 0.937 0.678
Rh: 0.937 0.610 0.776

---

(2)
# Zr2Rh3

Zr2Rh3 after structural relaxation (PBE, the Alexandria database).

- DOS(E_F): 3.501 states/eV/f.u.
- Theoretical density: 8.69 Mg/m³
- Volume: 18.8 A^3/atom
- Symmetry: R-3m (166)

Cell lengths 3.566, 3.566, 25.558 Å; angles 90.00, 90.00, 120.00 degrees
Fractional positions:
Zr: 0.000 0.000 0.095
Zr: 0.000 0.000 0.905
Zr: 0.333 0.667 0.571
Zr: 0.333 0.667 0.762
Zr: 0.667 0.333 0.238
Zr: 0.667 0.333 0.429
Rh: 0.000 0.000 0.301
Rh: 0.000 0.000 0.500
Rh: 0.000 0.000 0.699
Rh: 0.333 0.667 0.167
Rh: 0.333 0.667 0.365
Rh: 0.333 0.667 0.968
Rh: 0.667 0.333 0.032
Rh: 0.667 0.333 0.635
Rh: 0.667 0.333 0.833

---

Result of the stability comparison: (2) is the least stable of them.